Entry 1:
The following is a PBE calculation of an optimized crystal structure of ScPAu2, from Alexandria.

ΔE_f ... -0.48 eV/atom

Cell lengths 3.696, 3.696, 5.818 Å; angles 90.00, 90.00, 90.00 degrees
Sites, in units of the cell vectors:
1 Sc 0.500 0.500 0.670
2 P 0.000 0.000 0.608
3 Au 0.000 0.000 0.033
4 Au 0.500 0.500 0.189

=====

Entry 2:
The following is a PBE calculation of an optimized crystal structure of Sc3PAu, from Alexandria.

ΔE_f ... -0.58 eV/atom

Cell lengths 4.845, 4.845, 4.845 Å; angles 90.00, 90.00, 90.00 degrees
Sites, in units of the cell vectors:
1 Sc 0.000 0.500 0.000
2 Sc 0.000 0.000 0.500
3 Sc 0.500 0.000 0.000
4 P 0.000 0.000 0.000
5 Au 0.500 0.500 0.500

=====

Entry 3:
The following is a PBE calculation of an optimized crystal structure of Sc2PAu, from Alexandria.

ΔE_f ... -0.92 eV/atom

Cell lengths 3.413, 3.377, 6.498 Å; angles 84.53, 90.00, 90.00 degrees
Sites, in units of the cell vectors:
1 Sc 0.000 0.047 0.731
2 Sc 0.000 0.953 0.269
3 P 0.500 0.500 0.500
4 Au 0.500 0.500 0.000

=====

Entry 4:
The following is a PBE calculation of an optimized crystal structure of ScP3Au, from Alexandria.

ΔE_f ... 0.61 eV/atom

Cell lengths 4.796, 4.796, 4.796 Å; angles 90.00, 90.00, 90.00 degrees
Sites, in units of the cell vectors:
1 Sc 0.500 0.500 0.500
2 P 0.000 0.500 0.000
3 P 0.000 0.000 0.500
4 P 0.500 0.000 0.000
5 Au 0.000 0.000 0.000

=====

Entry 5:
The following is a PBE calculation of an optimized crystal structure of ScP2Au, from Alexandria.

ΔE_f ... -0.53 eV/atom

Cell lengths 3.679, 3.679, 5.366 Å; angles 90.00, 90.00, 90.01 degrees
Sites, in units of the cell vectors:
1 Au 0.500 0.500 0.833
2 P 0.000 0.000 0.910
3 P 0.500 0.500 0.336
4 Sc 0.000 0.000 0.420

=====

Entry 6:
The following is a PBE calculation of an optimized crystal structure of ScP2Au, from Alexandria.

ΔE_f ... -0.27 eV/atom

Cell lengths 4.580, 4.580, 8.407 Å; angles 74.19, 74.19, 90.00 degrees
Sites, in units of the cell vectors:
1 Sc 0.500 0.500 0.000
2 Sc 0.250 0.750 0.500
3 P 0.643 0.125 0.250
4 P 0.107 0.625 0.250
5 P 0.375 0.357 0.750
6 P 0.875 0.893 0.750
7 Au 0.000 0.000 0.000
8 Au 0.750 0.250 0.500

=====

Entry 7:
The following is a PBE calculation of an optimized crystal structure of Sc2PAu, from Alexandria.

ΔE_f ... -0.99 eV/atom

Cell lengths 5.521, 5.521, 3.885 Å; angles 90.00, 90.00, 139.76 degrees
Sites, in units of the cell vectors:
1 Sc 0.025 0.975 0.000
2 Sc 0.735 0.265 0.500
3 P 0.281 0.719 0.000
4 Au 0.460 0.540 0.500

=====

Entry 8:
The following is a PBE calculation of an optimized crystal structure of ScPAu2, from Alexandria.

ΔE_f ... -0.31 eV/atom

Cell lengths 5.635, 5.635, 5.635 Å; angles 43.54, 43.54, 43.54 degrees
Sites, in units of the cell vectors:
1 Sc 0.000 0.000 0.000
2 P 0.500 0.500 0.500
3 Au 0.767 0.767 0.767
4 Au 0.233 0.233 0.233

=====

Entry 9:
The following is a PBE calculation of an optimized crystal structure of ScP2Au, from Alexandria.

ΔE_f ... -0.36 eV/atom

Cell lengths 5.950, 5.950, 5.950 Å; angles 38.45, 38.45, 38.45 degrees
Sites, in units of the cell vectors:
1 Au 0.750 0.750 0.750
2 P 0.001 0.001 0.001
3 P 0.499 0.499 0.499
4 Sc 0.250 0.250 0.250

=====

Entry 10:
The following is a PBE calculation of an optimized crystal structure of ScP2Au, from Alexandria.

ΔE_f ... -0.10 eV/atom

Cell lengths 4.617, 4.617, 4.617 Å; angles 60.00, 60.00, 60.00 degrees
Sites, in units of the cell vectors:
1 Au 0.500 0.500 0.500
2 P 0.000 0.000 0.000
3 P 0.250 0.250 0.250
4 Sc 0.750 0.750 0.750

=====

Entry 11:
The following is a PBE calculation of an optimized crystal structure of ScP2Au, from Alexandria.

ΔE_f ... -0.52 eV/atom

Cell lengths 3.773, 3.457, 5.562 Å; angles 89.94, 90.00, 90.00 degrees
Sites, in units of the cell vectors:
1 Au 0.500 0.750 0.750
2 P 0.000 0.750 0.051
3 P 0.000 0.750 0.449
4 Sc 0.500 0.250 0.250

=====

Entry 12:
The following is a PBE calculation of an optimized crystal structure of ScPAu2, from Alexandria.

ΔE_f ... -0.49 eV/atom

Cell lengths 5.222, 5.222, 4.143 Å; angles 88.59, 88.59, 42.04 degrees
Sites, in units of the cell vectors:
1 Sc 0.714 0.714 0.359
2 P 0.448 0.448 0.349
3 Au 0.032 0.032 0.950
4 Au 0.306 0.306 0.842

=====

Entry 13:
The following is a PBE calculation of an optimized crystal structure of Sc2PAu, from Alexandria.

ΔE_f ... -0.79 eV/atom

Cell lengths 4.941, 4.941, 4.941 Å; angles 131.74, 118.02, 82.21 degrees
Sites, in units of the cell vectors:
1 Sc 0.728 0.728 0.000
2 Sc 0.272 0.272 0.000
3 P 0.500 0.000 0.500
4 Au 0.000 0.500 0.500

=====

Entry 14:
The following is a PBE calculation of an optimized crystal structure of ScP2Au, from Alexandria.

ΔE_f ... -0.50 eV/atom

Cell lengths 5.323, 5.323, 3.971 Å; angles 79.14, 79.14, 38.95 degrees
Sites, in units of the cell vectors:
1 Au 0.248 0.248 0.183
2 P 0.014 0.014 0.070
3 P 0.754 0.754 0.663
4 Sc 0.485 0.485 0.584

=====

Entry 15:
The following is a PBE calculation of an optimized crystal structure of ScP2Au, from Alexandria.

ΔE_f ... -0.41 eV/atom

Cell lengths 4.895, 4.895, 5.115 Å; angles 82.64, 82.64, 39.40 degrees
Sites, in units of the cell vectors:
1 Sc 0.000 0.000 0.000
2 P 0.715 0.715 0.152
3 P 0.285 0.285 0.848
4 Au 0.500 0.500 0.500

=====

Entry 16:
The following is a PBE calculation of an optimized crystal structure of ScPAu2, from Alexandria.

ΔE_f ... -0.40 eV/atom

Cell lengths 4.674, 4.674, 4.674 Å; angles 60.00, 60.00, 60.00 degrees
Sites, in units of the cell vectors:
1 Sc 0.250 0.250 0.250
2 P 0.500 0.500 0.500
3 Au 0.000 0.000 0.000
4 Au 0.750 0.750 0.750

=====

Entry 17:
The following is a PBE calculation of an optimized crystal structure of Sc2PAu, from Alexandria.

ΔE_f ... -0.13 eV/atom

Cell lengths 8.928, 8.928, 8.928 Å; angles 23.30, 23.30, 23.30 degrees
Sites, in units of the cell vectors:
1 Sc 0.904 0.904 0.904
2 Sc 0.096 0.096 0.096
3 P 0.000 0.000 0.000
4 Au 0.500 0.500 0.500

=====

Entry 18:
The following is a PBE calculation of an optimized crystal structure of ScPAu2, from Alexandria.

ΔE_f ... -0.63 eV/atom

Cell lengths 5.829, 5.829, 3.650 Å; angles 90.00, 90.00, 143.62 degrees
Sites, in units of the cell vectors:
1 Sc 0.405 0.595 0.500
2 P 0.844 0.156 0.000
3 Au 0.070 0.930 0.000
4 Au 0.679 0.321 0.500

=====

Entry 19:
The following is a PBE calculation of an optimized crystal structure of ScP2Au, from Alexandria.

ΔE_f ... -0.36 eV/atom

Cell lengths 4.804, 2.932, 5.121 Å; angles 80.41, 90.00, 90.00 degrees
Sites, in units of the cell vectors:
1 Au 0.500 0.975 0.824
2 P 0.000 0.902 0.909
3 P 0.500 0.077 0.320
4 Sc 0.000 0.546 0.447

=====

Entry 20:
The following is a PBE calculation of an optimized crystal structure of ScP3Au, from Alexandria.

ΔE_f ... 0.68 eV/atom

Cell lengths 4.887, 4.887, 4.887 Å; angles 90.00, 90.00, 90.00 degrees
Sites, in units of the cell vectors:
1 Sc 0.000 0.000 0.000
2 P 0.000 0.500 0.000
3 P 0.000 0.000 0.500
4 P 0.500 0.000 0.000
5 Au 0.500 0.500 0.500

=====

Entry 21:
The following is a PBE calculation of an optimized crystal structure of ScP2Au, from Alexandria.

ΔE_f ... -0.34 eV/atom

Cell lengths 3.566, 3.566, 5.730 Å; angles 90.00, 90.00, 90.00 degrees
Sites, in units of the cell vectors:
1 Au 0.500 0.500 0.750
2 P 0.000 0.000 0.055
3 P 0.000 0.000 0.445
4 Sc 0.500 0.500 0.250

=====

Entry 22:
The following is a PBE calculation of an optimized crystal structure of ScPAu2, from Alexandria.

ΔE_f ... -0.55 eV/atom

Cell lengths 3.849, 3.849, 4.904 Å; angles 90.00, 90.00, 90.00 degrees
Sites, in units of the cell vectors:
1 Sc 0.000 0.000 0.500
2 P 0.500 0.500 0.500
3 Au 0.000 0.500 0.000
4 Au 0.500 0.000 0.000

=====

Entry 23:
The following is a PBE calculation of an optimized crystal structure of ScP2Au, from Alexandria.

ΔE_f ... -0.45 eV/atom

Cell lengths 4.392, 4.395, 3.438 Å; angles 90.00, 90.00, 90.00 degrees
Sites, in units of the cell vectors:
1 Au 0.000 0.500 0.500
2 P 0.000 0.000 0.000
3 P 0.500 0.500 0.000
4 Sc 0.500 0.000 0.500

=====

Entry 24:
The following is a PBE calculation of an optimized crystal structure of ScP2Au, from Alexandria.

ΔE_f ... -0.45 eV/atom

Cell lengths 5.718, 5.718, 5.718 Å; angles 143.40, 141.31, 54.31 degrees
Sites, in units of the cell vectors:
1 Au 0.783 0.283 0.500
2 P 0.979 0.979 0.000
3 P 0.211 0.711 0.500
4 Sc 0.527 0.527 0.000

=====

Entry 25:
The following is a PBE calculation of an optimized crystal structure of Sc2PAu, from Alexandria.

ΔE_f ... -1.02 eV/atom

Cell lengths 6.992, 6.992, 6.992 Å; angles 31.22, 31.22, 31.22 degrees
Sites, in units of the cell vectors:
1 Sc 0.239 0.239 0.239
2 Sc 0.761 0.761 0.761
3 P 0.500 0.500 0.500
4 Au 0.000 0.000 0.000

=====

Entry 26:
The following is a PBE calculation of an optimized crystal structure of ScPAuSe2, from Alexandria.

Formation energy (no corrections) ... 1.22 eV per formula unit

Cell lengths 5.114, 4.679, 5.114 Å; angles 90.00, 90.00, 90.00 degrees
Sites, in units of the cell vectors:
1 Sc 0.500 0.500 0.500
2 P 0.000 0.500 0.000
3 Au 0.000 0.000 0.000
4 Se 0.000 0.000 0.500
5 Se 0.500 0.000 0.000

=====

Entry 27:
The following is a PBE calculation of an optimized crystal structure of Sc4PAuSe2, from Alexandria.

Formation energy (no corrections) ... -10.72 eV per formula unit

Cell lengths 3.801, 6.702, 6.778 Å; angles 71.66, 90.00, 90.00 degrees
Sites, in units of the cell vectors:
1 Sc 0.000 0.747 0.737
2 Sc 0.000 0.253 0.263
3 Sc 0.500 0.735 0.268
4 Sc 0.500 0.265 0.732
5 P 0.000 0.500 0.500
6 Au 0.500 0.500 0.000
7 Se 0.000 0.000 0.000
8 Se 0.500 0.000 0.500

=====

Entry 28:
The following is a PBE calculation of an optimized crystal structure of Sc2PWAu, from Alexandria.

ΔE_f ... 1.06 eV/atom

Cell lengths 5.135, 4.393, 5.135 Å; angles 90.00, 90.00, 90.00 degrees
Sites, in units of the cell vectors:
1 Sc 0.000 0.000 0.500
2 Sc 0.500 0.000 0.000
3 P 0.000 0.500 0.000
4 Au 0.000 0.000 0.000
5 W 0.500 0.500 0.500

=====

Entry 29:
The following is a PBE calculation of an optimized crystal structure of Y2ScPAu, from Alexandria.

ΔE_f ... 0.65 eV/atom

Cell lengths 5.537, 4.769, 5.537 Å; angles 90.00, 90.00, 90.00 degrees
Sites, in units of the cell vectors:
1 Y 0.000 0.000 0.500
2 Y 0.500 0.000 0.000
3 Sc 0.000 0.000 0.000
4 Au 0.000 0.500 0.000
5 P 0.500 0.500 0.500

=====

Entry 30:
The following is a PBE calculation of an optimized crystal structure of PAuSe2, from Alexandria.

Formation energy (no corrections) ... 1.75 eV per formula unit

Cell lengths 2.678, 2.678, 12.540 Å; angles 90.00, 90.00, 90.00 degrees
Sites, in units of the cell vectors:
1 P 0.500 0.500 0.713
2 Au 0.000 0.000 0.544
3 Se 0.000 0.000 0.964
4 Se 0.500 0.500 0.279

=====

| no. | total magnetization (μB/f.u.) |
| --- | --- |
| 1 | 0.00 |
| 2 | 0.74 |
| 3 | 0.36 |
| 4 | 0.00 |
| 5 | 0.00 |
| 6 | 0.00 |
| 7 | 0.00 |
| 8 | 0.00 |
| 9 | 0.00 |
| 10 | 0.00 |
| 11 | 0.00 |
| 12 | 0.00 |
| 13 | 0.00 |
| 14 | 0.00 |
| 15 | 0.00 |
| 16 | 0.00 |
| 17 | 0.00 |
| 18 | 0.00 |
| 19 | 0.00 |
| 20 | 0.00 |
| 21 | 0.00 |
| 22 | 0.00 |
| 23 | 0.00 |
| 24 | 0.00 |
| 25 | 0.00 |
| 26 | 0.00 |
| 27 | 0.00 |
| 28 | 0.09 |
| 29 | 0.00 |
| 30 | 0.00 |